No. 1
This record from OQMD describes crystalline PaIr at its relaxed geometry. The functional is PBE.

abc: 4.3813 4.3813 4.3813
angles: 60.00 60.00 60.00
Positions (direct):
1 Pa 0.2500 0.2500 0.2500
2 Ir 0.0000 0.0000 0.0000

Results
As for the electronic total energy: -9.12 eV per atom. The space-group type is F-43m (216). The volume comes out at 29.7 Å³/atom.

---

No. 2
This record from OQMD describes crystalline PaIr at its relaxed geometry. The functional is PBE.

abc: 3.8106 3.8106 3.6452
angles: 90.00 90.00 120.00
Positions (direct):
1 Ir 0.6667 0.3333 0.7500
2 Pa 0.3333 0.6667 0.2500

Results
As for the electronic total energy: -9.77 eV per atom. The space-group type is P-6m2 (187). The volume comes out at 22.9 Å³/atom.

---

No. 3
This record from OQMD describes crystalline PaIrPd at its relaxed geometry. The functional is PBE.

abc: 4.5818 4.5818 4.5818
angles: 60.00 60.00 60.00
Positions (direct):
1 Ir 0.2500 0.2500 0.2500
2 Pa 0.0000 0.0000 0.0000
3 Pd 0.7500 0.7500 0.7500

Results
As for the electronic total energy: -8.13 eV per atom. The space-group type is F-43m (216). The volume comes out at 22.7 Å³/atom.

---

No. 4
This record from OQMD describes crystalline PaIrPd at its relaxed geometry. The functional is PBE.

abc: 4.5375 4.5375 4.5375
angles: 60.00 60.00 60.00
Positions (direct):
1 Pd 0.2500 0.2500 0.2500
2 Pa 0.7500 0.7500 0.7500
3 Ir 0.0000 0.0000 0.0000

Results
As for the electronic total energy: -8.23 eV per atom. The space-group type is F-43m (216). The volume comes out at 22.0 Å³/atom.

---

No. 5
This record from OQMD describes crystalline PmPaIr at its relaxed geometry. The functional is PBE.

abc: 4.8389 4.8389 4.8389
angles: 60.00 60.00 60.00
Positions (direct):
1 Ir 0.0000 0.0000 0.0000
2 Pa 0.7500 0.7500 0.7500
3 Pm 0.2500 0.2500 0.2500

Results
As for the electronic total energy: -7.95 eV per atom. The space-group type is F-43m (216). The volume comes out at 26.7 Å³/atom.

---

No. 6
This record from OQMD describes crystalline RbPaIr at its relaxed geometry. The functional is PBE.

abc: 4.9231 4.9231 4.9231
angles: 60.00 60.00 60.00
Positions (direct):
1 Rb 0.2500 0.2500 0.2500
2 Pa 0.7500 0.7500 0.7500
3 Ir 0.0000 0.0000 0.0000

Results
As for the electronic total energy: -5.61 eV per atom. The space-group type is F-43m (216). The volume comes out at 28.1 Å³/atom.

---

No. 7
This record from OQMD describes crystalline ScPaIr at its relaxed geometry. The functional is PBE.

abc: 4.6726 4.6726 4.6726
angles: 60.00 60.00 60.00
Positions (direct):
1 Sc 0.2500 0.2500 0.2500
2 Ir 0.0000 0.0000 0.0000
3 Pa 0.7500 0.7500 0.7500

Results
As for the electronic total energy: -8.64 eV per atom. The space-group type is F-43m (216). The volume comes out at 24.0 Å³/atom.

---

No. 8
This record from OQMD describes crystalline ScPaIr at its relaxed geometry. The functional is PBE.

abc: 4.5815 4.5815 4.5815
angles: 60.00 60.00 60.00
Positions (direct):
1 Ir 0.2500 0.2500 0.2500
2 Pa 0.0000 0.0000 0.0000
3 Sc 0.7500 0.7500 0.7500

Results
As for the electronic total energy: -8.08 eV per atom. The space-group type is F-43m (216). The volume comes out at 22.7 Å³/atom.

---

In order of appearance, size of the total moment = 0.0, 0.0, 0.0, 0.0, 0.0, 0.9, 0.0, 0.3 μB per formula unit.